The following is a DFT calculation (PBE) of a relaxed structure of Pm6Ge2PI3.

The calculation puts the total moment at 0.00 μB per formula unit. As for the crystal system: monoclinic. As for the formation energy from raw total energies: -1.138 eV per atom.

It has space group C2/m (No. 12), with a = 7.414 Å, b = 12.837 Å, c = 8.040 Å, α = 90.00°, β = 107.89° and γ = 90.00°. The inequivalent atoms are Pm at (0.228, 0.164, 0.195), Pm at (0.238, 0.500, 0.195), Ge at (0.000, 0.333, 0.000), P at (0.000, 0.000, 0.000), I at (0.000, 0.169, 0.500) and I at (0.000, 0.500, 0.500).

The following is a DFT calculation (PBE) of a relaxed structure of SrZr4Te.

The calculation puts the total moment at 0.01 μB per formula unit. As for the crystal system: cubic. As for the formation energy from raw total energies: 0.339 eV per atom.

It has space group F-43m (No. 216), with a = 8.657 Å, b = 8.657 Å, c = 8.657 Å, α = 90.00°, β = 90.00° and γ = 90.00°. The inequivalent atoms are Sr at (0.000, 0.000, 0.000), Zr at (0.130, 0.130, 0.630) and Te at (0.250, 0.250, 0.250).

The following is a DFT calculation (PBE) of a relaxed structure of ZnHg2Au.

The calculation puts the total moment at 0.00 μB per formula unit. The formation enthalpy at 0 K is 0.101 eV/atom. As for the crystal system: monoclinic.

It has space group P2/m (No. 10), with a = 3.369 Å, b = 4.868 Å, c = 5.147 Å, α = 90.00°, β = 95.42° and γ = 90.00°. The inequivalent atoms are Zn at (0.000, 0.000, 0.000), Hg at (0.247, 0.500, 0.246) and Au at (0.500, 0.000, 0.500).

| no. | uncorrected energy (eV/cell) |
| --- | --- |
| 1 | -122.91 |
| 2 | -147.94 |
| 3 | -4.75 |